This record from Alexandria via LeMat-Bulk describes a relaxed Sc2AlCu4 crystal. The functional is PBE.

Properties
* E_form: 267 meV/atom
* final energy: -4.417 eV per atom

POSCAR file:
```
Sc2AlCu4
1.0
4.390 0.000 0.000
0.000 4.390 0.000
0.000 0.000 13.683
Sc Al Cu
4 2 8
Direct
0.000 0.000 0.131
0.000 0.000 0.869
0.500 0.500 0.369
0.500 0.500 0.631
0.000 0.000 0.500
0.500 0.500 0.000
0.000 0.000 0.325
0.000 0.000 0.675
0.000 0.500 0.000
0.000 0.500 0.500
0.500 0.000 0.000
0.500 0.000 0.500
0.500 0.500 0.175
0.500 0.500 0.825
```